(1)
PmTm2Pb | GGA-PBE | optimized geometry

Energy relative to the lowest polymorph listed for this composition, eV/atom: 0.114
Crystal system: tetragonal
ΔE_f, meV per atom: -195

Structure (POSCAR):
```
PmTm2Pb
1.0
3.6365 0.0000 0.0000
0.0000 3.6365 0.0000
0.0000 0.0000 9.1599
Pm Tm Pb
1 2 1
Direct
0.0000 0.0000 0.0000 Pm
0.5000 0.5000 0.2684 Tm
0.5000 0.5000 0.7316 Tm
0.0000 0.0000 0.5000 Pb
```


(2)
PmTm2Pb | GGA-PBE | optimized geometry

Energy relative to the lowest polymorph listed for this composition, eV/atom: 0.000
Crystal system: monoclinic
ΔE_f, meV per atom: -309

Structure (POSCAR):
```
PmTm2Pb
1.0
4.6456 0.0000 0.0000
0.0000 4.7284 0.0000
-2.3097 0.0000 11.2374
Pm Tm Pb
2 4 2
Direct
0.1901 0.2500 0.3824 Pm
0.8099 0.7500 0.6176 Pm
0.0552 0.7500 0.1108 Tm
0.4386 0.7500 0.8766 Tm
0.5614 0.2500 0.1234 Tm
0.9448 0.2500 0.8892 Tm
0.3378 0.2500 0.6727 Pb
0.6622 0.7500 0.3273 Pb
```


(3)
Pm12Tm7Pb | GGA-PBE | optimized geometry

Crystal system: trigonal
ΔE_f, meV per atom: 140

Structure (POSCAR):
```
Pm12Tm7Pb
1.0
6.1177 3.5321 5.0693
-6.1177 3.5321 5.0693
0.0000 -7.0642 5.0693
Pm Tm Pb
12 7 1
Direct
0.0042 0.3555 0.8811 Pm
0.1189 0.9958 0.6445 Pm
0.2314 0.6289 0.7632 Pm
0.2368 0.7686 0.3711 Pm
0.3555 0.8811 0.0042 Pm
0.3711 0.2368 0.7686 Pm
0.6289 0.7632 0.2314 Pm
0.6445 0.1189 0.9958 Pm
0.7632 0.2314 0.6289 Pm
0.7686 0.3711 0.2368 Pm
0.8811 0.0042 0.3555 Pm
0.9958 0.6445 0.1189 Pm
0.0000 0.0000 0.0000 Tm
0.1211 0.3525 0.4436 Tm
0.3525 0.4436 0.1211 Tm
0.4436 0.1211 0.3525 Tm
0.5564 0.8789 0.6475 Tm
0.6475 0.5564 0.8789 Tm
0.8789 0.6475 0.5564 Tm
0.5000 0.5000 0.5000 Pb
```


(4)
Pm3TmPb4 | GGA-PBE | optimized geometry

Energy relative to the lowest polymorph listed for this composition, eV/atom: 0.048
Crystal system: orthorhombic
ΔE_f, meV per atom: -416

Structure (POSCAR):
```
Pm3TmPb4
1.0
3.7893 -6.3963 0.0000
3.7893 6.3963 0.0000
0.0000 0.0000 5.2494
Pm Tm Pb
3 1 4
Direct
0.0000 0.0000 0.0000 Pm
0.0000 0.5000 0.5000 Pm
0.5000 0.0000 0.5000 Pm
0.5000 0.5000 0.0000 Tm
0.2538 0.7462 0.0000 Pb
0.2626 0.2626 0.5000 Pb
0.7374 0.7374 0.5000 Pb
0.7462 0.2538 0.0000 Pb
```


(5)
Pm3Tm2Pb3 | GGA-PBE | optimized geometry

Energy relative to the lowest polymorph listed for this composition, eV/atom: 0.132
Crystal system: orthorhombic
ΔE_f, meV per atom: -407

Structure (POSCAR):
```
Pm3Tm2Pb3
1.0
-2.1984 2.4948 10.8836
2.1984 -2.4948 10.8836
2.1984 2.4948 -10.8836
Pm Tm Pb
3 2 3
Direct
0.0000 0.0000 0.0000 Pm
0.3784 0.8784 0.5000 Pm
0.6216 0.1216 0.5000 Pm
0.2453 0.2453 0.0000 Tm
0.7547 0.7547 0.0000 Tm
0.1363 0.6363 0.5000 Pb
0.5000 0.5000 0.0000 Pb
0.8637 0.3637 0.5000 Pb
```


(6)
Pm12Tm5Pb2 | GGA-PBE | optimized geometry

Crystal system: monoclinic
ΔE_f, meV per atom: -31

Structure (POSCAR):
```
Pm12Tm5Pb2
1.0
7.6575 -4.7828 0.0000
7.6575 4.7828 0.0000
-0.4187 0.0000 8.5457
Pm Tm Pb
12 5 2
Direct
0.0529 0.0529 0.3148 Pm
0.0742 0.6810 0.3509 Pm
0.1637 0.5313 0.7683 Pm
0.3190 0.9258 0.6491 Pm
0.4160 0.4160 0.1187 Pm
0.4687 0.8363 0.2317 Pm
0.5313 0.1637 0.7683 Pm
0.5840 0.5840 0.8813 Pm
0.6810 0.0742 0.3509 Pm
0.8363 0.4687 0.2317 Pm
0.9258 0.3190 0.6491 Pm
0.9471 0.9471 0.6852 Pm
0.1816 0.1816 0.0009 Tm
0.2657 0.2657 0.4125 Tm
0.5000 0.5000 0.5000 Tm
0.7343 0.7343 0.5875 Tm
0.8184 0.8184 0.9991 Tm
0.1915 0.8085 0.0000 Pb
0.8085 0.1915 0.0000 Pb
```


(7)
Pm8TmPb2 | GGA-PBE | optimized geometry

Crystal system: monoclinic
ΔE_f, meV per atom: -94

Structure (POSCAR):
```
Pm8TmPb2
1.0
8.3529 -3.4307 0.0000
8.3529 3.4307 0.0000
-0.5618 0.0000 6.4013
Pm Tm Pb
8 1 2
Direct
0.0829 0.0829 0.3974 Pm
0.1501 0.6587 0.1025 Pm
0.2937 0.2937 0.6654 Pm
0.3413 0.8499 0.8975 Pm
0.6587 0.1501 0.1025 Pm
0.7063 0.7063 0.3346 Pm
0.8499 0.3413 0.8975 Pm
0.9171 0.9171 0.6026 Pm
0.5000 0.5000 0.5000 Tm
0.2438 0.2438 0.1668 Pb
0.7562 0.7562 0.8332 Pb
```


(8)
PmTmPb | GGA-PBE | optimized geometry

Energy relative to the lowest polymorph listed for this composition, eV/atom: 0.259
Crystal system: cubic
ΔE_f, meV per atom: -192

Structure (POSCAR):
```
PmTmPb
1.0
0.0000 3.6914 3.6914
3.6914 0.0000 3.6914
3.6914 3.6914 0.0000
Pm Tm Pb
1 1 1
Direct
0.0000 0.0000 0.0000 Pm
0.5000 0.5000 0.5000 Tm
0.7500 0.7500 0.7500 Pb
```


(9)
PmTmPb2 | GGA-PBE | optimized geometry

Crystal system: tetragonal
ΔE_f, meV per atom: -434

Structure (POSCAR):
```
PmTmPb2
1.0
5.0526 0.0000 0.0000
0.0000 5.0526 0.0000
0.0000 0.0000 4.4846
Pm Tm Pb
1 1 2
Direct
0.0000 0.0000 0.0000 Pm
0.5000 0.5000 0.0000 Tm
0.0000 0.5000 0.5000 Pb
0.5000 0.0000 0.5000 Pb
```


(10)
Pm5TmPb4 | GGA-PBE | optimized geometry

Crystal system: monoclinic
ΔE_f, meV per atom: -359

Structure (POSCAR):
```
Pm5TmPb4
1.0
8.3531 -2.7190 0.0000
8.3531 2.7190 0.0000
-0.0843 0.0000 7.3192
Pm Tm Pb
5 1 4
Direct
0.0000 0.0000 0.0000 Pm
0.3334 0.3334 0.4938 Pm
0.3338 0.3338 0.0041 Pm
0.6662 0.6662 0.9959 Pm
0.6666 0.6666 0.5062 Pm
0.0000 0.0000 0.5000 Tm
0.1741 0.1741 0.7478 Pb
0.4917 0.4917 0.7445 Pb
0.5083 0.5083 0.2555 Pb
0.8259 0.8259 0.2522 Pb
```


(11)
PmTm2Pb | GGA-PBE | optimized geometry

Energy relative to the lowest polymorph listed for this composition, eV/atom: 0.259
Crystal system: cubic
ΔE_f, meV per atom: -50

Structure (POSCAR):
```
PmTm2Pb
1.0
0.0000 3.8638 3.8638
3.8638 0.0000 3.8638
3.8638 3.8638 0.0000
Pm Tm Pb
1 2 1
Direct
0.0000 0.0000 0.0000 Pm
0.2500 0.2500 0.2500 Tm
0.7500 0.7500 0.7500 Tm
0.5000 0.5000 0.5000 Pb
```


(12)
PmTm7Pb4 | GGA-PBE | optimized geometry

Crystal system: monoclinic
ΔE_f, meV per atom: -37

Structure (POSCAR):
```
PmTm7Pb4
1.0
6.4015 -2.8368 0.0000
6.4015 2.8368 0.0000
-5.7171 0.0000 9.9466
Pm Tm Pb
1 7 4
Direct
0.0000 0.0000 0.0000 Pm
0.0384 0.0384 0.3762 Tm
0.2160 0.2160 0.8981 Tm
0.3450 0.3450 0.4313 Tm
0.5000 0.5000 0.0000 Tm
0.6550 0.6550 0.5687 Tm
0.7840 0.7840 0.1019 Tm
0.9616 0.9616 0.6238 Tm
0.2926 0.2926 0.6785 Pb
0.4077 0.4077 0.2108 Pb
0.5923 0.5923 0.7892 Pb
0.7074 0.7074 0.3215 Pb
```


(13)
PmTm2Pb3 | GGA-PBE | optimized geometry

Energy relative to the lowest polymorph listed for this composition, eV/atom: 0.000
Crystal system: monoclinic
ΔE_f, meV per atom: -472

Structure (POSCAR):
```
PmTm2Pb3
1.0
8.4712 -3.2101 0.0000
8.4712 3.2101 0.0000
-1.2016 0.0000 6.2828
Pm Tm Pb
2 4 6
Direct
0.1266 0.8734 0.7500 Pm
0.8734 0.1266 0.2500 Pm
0.2105 0.4570 0.9220 Tm
0.4570 0.2105 0.4220 Tm
0.5430 0.7895 0.5780 Tm
0.7895 0.5430 0.0780 Tm
0.0466 0.2930 0.5873 Pb
0.2930 0.0466 0.0873 Pb
0.3753 0.6247 0.2500 Pb
0.6247 0.3753 0.7500 Pb
0.7070 0.9534 0.9127 Pb
0.9534 0.7070 0.4127 Pb
```


(14)
PmTm2Pb | GGA-PBE | optimized geometry

Energy relative to the lowest polymorph listed for this composition, eV/atom: 0.040
Crystal system: tetragonal
ΔE_f, meV per atom: -269

Structure (POSCAR):
```
PmTm2Pb
1.0
4.8743 0.0000 0.0000
0.0000 4.8743 0.0000
0.0000 0.0000 4.8349
Pm Tm Pb
1 2 1
Direct
0.0000 0.0000 0.0000 Pm
0.0000 0.5000 0.5000 Tm
0.5000 0.0000 0.5000 Tm
0.5000 0.5000 0.0000 Pb
```


(15)
PmTmZnPb | GGA-PBE | optimized geometry

Crystal system: cubic
ΔE_f, meV per atom: -361

Structure (POSCAR):
```
PmTmZnPb
1.0
0.0000 3.7300 3.7300
3.7300 0.0000 3.7300
3.7300 3.7300 0.0000
Pm Tm Zn Pb
1 1 1 1
Direct
0.0000 0.0000 0.0000 Pm
0.5000 0.5000 0.5000 Tm
0.7500 0.7500 0.7500 Zn
0.2500 0.2500 0.2500 Pb
```


(16)
PmUPb2 | GGA-PBE | optimized geometry

Crystal system: tetragonal
ΔE_f, meV per atom: -74

Structure (POSCAR):
```
PmUPb2
1.0
3.4977 0.0000 0.0000
0.0000 3.4977 0.0000
0.0000 0.0000 9.2637
Pm U Pb
1 1 2
Direct
0.0000 0.0000 0.0000 Pm
0.0000 0.0000 0.5000 U
0.5000 0.5000 0.2524 Pb
0.5000 0.5000 0.7476 Pb
```


(17)
Pm5YPb4 | GGA-PBE | optimized geometry

Crystal system: monoclinic
ΔE_f, meV per atom: -379

Structure (POSCAR):
```
Pm5YPb4
1.0
8.3510 -2.7322 0.0000
8.3510 2.7322 0.0000
-0.0581 0.0000 7.3318
Pm Y Pb
5 1 4
Direct
0.0000 0.0000 0.0000 Pm
0.3333 0.3333 0.4929 Pm
0.3338 0.3338 0.0049 Pm
0.6662 0.6662 0.9951 Pm
0.6667 0.6667 0.5071 Pm
0.0000 0.0000 0.5000 Y
0.1748 0.1748 0.7487 Pb
0.4914 0.4914 0.7459 Pb
0.5086 0.5086 0.2541 Pb
0.8252 0.8252 0.2513 Pb
```


(18)
PmYPb2 | GGA-PBE | optimized geometry

Crystal system: monoclinic
ΔE_f, meV per atom: -536

Structure (POSCAR):
```
PmYPb2
1.0
4.5707 0.0000 0.0000
0.0000 4.4921 0.0000
-2.2802 0.0000 5.9058
Pm Y Pb
1 1 2
Direct
0.0000 0.0000 0.0000 Pm
0.7398 0.5000 0.4761 Y
0.2716 0.0000 0.5392 Pb
0.4674 0.5000 0.9350 Pb
```


(19)
Pm3YPb5 | GGA-PBE | optimized geometry

Crystal system: hexagonal
ΔE_f, meV per atom: -477

Structure (POSCAR):
```
Pm3YPb5
1.0
9.6823 0.0000 0.0000
-4.8411 8.3851 0.0000
0.0000 0.0000 6.6215
Pm Y Pb
6 2 10
Direct
0.0000 0.3815 0.2500 Pm
0.0000 0.6185 0.7500 Pm
0.3815 0.0000 0.2500 Pm
0.3815 0.3815 0.7500 Pm
0.6185 0.0000 0.7500 Pm
0.6185 0.6185 0.2500 Pm
0.0000 0.0000 0.0000 Y
0.0000 0.0000 0.5000 Y
0.0000 0.2848 0.7500 Pb
0.0000 0.7152 0.2500 Pb
0.2848 0.0000 0.7500 Pb
0.2848 0.2848 0.2500 Pb
0.3333 0.6667 0.0000 Pb
0.3333 0.6667 0.5000 Pb
0.6667 0.3333 0.0000 Pb
0.6667 0.3333 0.5000 Pb
0.7152 0.0000 0.2500 Pb
0.7152 0.7152 0.7500 Pb
```


(20)
Pm2YPb3 | GGA-PBE | optimized geometry

Energy relative to the lowest polymorph listed for this composition, eV/atom: 0.000
Crystal system: monoclinic
ΔE_f, meV per atom: -489

Structure (POSCAR):
```
Pm2YPb3
1.0
5.7930 0.0000 0.0000
0.0000 7.1975 0.0000
-0.8066 0.0000 8.4004
Pm Y Pb
4 2 6
Direct
0.0000 0.0000 0.0000 Pm
0.0000 0.5000 0.0000 Pm
0.3348 0.0000 0.6680 Pm
0.6652 0.0000 0.3320 Pm
0.3380 0.5000 0.6680 Y
0.6620 0.5000 0.3320 Y
0.1652 0.2560 0.3367 Pb
0.1652 0.7440 0.3367 Pb
0.5000 0.2541 0.0000 Pb
0.5000 0.7459 0.0000 Pb
0.8348 0.2560 0.6633 Pb
0.8348 0.7440 0.6633 Pb
```


(21)
Pm2Y3Pb4 | GGA-PBE | optimized geometry

Energy relative to the lowest polymorph listed for this composition, eV/atom: 0.000
Crystal system: monoclinic
ΔE_f, meV per atom: -470

Structure (POSCAR):
```
Pm2Y3Pb4
1.0
8.5067 -2.4433 0.0000
8.5067 2.4433 0.0000
-1.5672 0.0000 6.6232
Pm Y Pb
2 3 4
Direct
0.1674 0.1674 0.0805 Pm
0.8326 0.8326 0.9195 Pm
0.3903 0.3903 0.4273 Y
0.5000 0.5000 0.0000 Y
0.6096 0.6096 0.5727 Y
0.0051 0.0051 0.2809 Pb
0.2423 0.2423 0.6733 Pb
0.7577 0.7577 0.3267 Pb
0.9949 0.9949 0.7191 Pb
```


(22)
Pm6YPb10 | GGA-PBE | optimized geometry

Crystal system: trigonal
ΔE_f, meV per atom: -406

Structure (POSCAR):
```
Pm6YPb10
1.0
9.5391 0.0000 0.0000
-4.7695 8.2611 0.0000
0.0000 0.0000 6.5757
Pm Y Pb
6 1 10
Direct
0.0000 0.3884 0.2354 Pm
0.0000 0.6116 0.7646 Pm
0.3884 0.0000 0.2354 Pm
0.3884 0.3884 0.7646 Pm
0.6116 0.0000 0.7646 Pm
0.6116 0.6116 0.2354 Pm
0.0000 0.0000 0.0000 Y
0.0000 0.2599 0.7031 Pb
0.0000 0.7401 0.2969 Pb
0.2599 0.0000 0.7031 Pb
0.2599 0.2599 0.2969 Pb
0.3333 0.6667 0.0000 Pb
0.3333 0.6667 0.5000 Pb
0.6667 0.3333 0.0000 Pb
0.6667 0.3333 0.5000 Pb
0.7401 0.0000 0.2969 Pb
0.7401 0.7401 0.7031 Pb
```


(23)
Pm2YPb2 | GGA-PBE | optimized geometry

Energy relative to the lowest polymorph listed for this composition, eV/atom: 0.044
Crystal system: orthorhombic
ΔE_f, meV per atom: -490

Structure (POSCAR):
```
Pm2YPb2
1.0
2.5575 -9.3371 0.0000
2.5575 9.3371 0.0000
0.0000 0.0000 6.6194
Pm Y Pb
4 2 4
Direct
0.0002 0.9998 0.0000 Pm
0.9998 0.0002 0.5000 Pm
0.1918 0.8082 0.7489 Pm
0.8082 0.1918 0.2489 Pm
0.3959 0.6041 0.7504 Y
0.6041 0.3959 0.2504 Y
0.1923 0.8077 0.2487 Pb
0.4236 0.5764 0.2500 Pb
0.5764 0.4236 0.7500 Pb
0.8077 0.1923 0.7487 Pb
```